# ErHg2 meta-GGA SCAN single point on PBEsol structure
data_ErHg2
_chemical_formula_sum 'Er1 Hg2'
_cell_length_a 4.830
_cell_length_b 4.830
_cell_length_c 3.335
_cell_angle_alpha 90.00
_cell_angle_beta 90.00
_cell_angle_gamma 120.00
_space_group_name_H-M_alt 'P 1'
_space_group_IT_number 1
loop_
_space_group_symop_operation_xyz
'x,y,z'
loop_
_atom_site_label
_atom_site_type_symbol
_atom_site_fract_x
_atom_site_fract_y
_atom_site_fract_z
Er1 Er 0.000 0.000 0.000
Hg1 Hg 0.333 0.667 0.500
Hg2 Hg 0.667 0.333 0.500
# Total energy in eV per atom: -62.761
# Symmetry: P6/mmm, No. 191
# Formation energy from the elements in meV/atom: -537